1.
A plane-wave DFT calculation with PBE was carried out for YFe3Ag after structural relaxation.

Output
- ΔH_f (0 K): 8.875 eV per formula unit
- Excess energy over the best structure of this formula in the dataset: 711 meV per atom
- Spin magnetization: 6.64 Bohr magnetons per cell

Cell and atoms, written as CIF:
```
data_YFe3Ag
_chemical_formula_sum 'Y1 Fe3 Ag1'
_space_group_name_H-M_alt 'P m -3 m'
_space_group_IT_number 221
_space_group_name_Hall '-P 4 2 3'
_cell_length_a 4.707
_cell_length_b 4.707
_cell_length_c 4.707
_cell_angle_alpha 90.00
_cell_angle_beta 90.00
_cell_angle_gamma 90.00
loop_
_atom_site_label
_atom_site_fract_x
_atom_site_fract_y
_atom_site_fract_z
Y1 0.000 0.000 0.000
Fe1 0.000 0.000 0.500
Ag1 0.500 0.500 0.500
```

2.
A plane-wave DFT calculation with PBE was carried out for DyGaPd after structural relaxation.

Output
- ΔH_f (0 K): -2.677 eV per formula unit
- Spin magnetization: 0.00 Bohr magnetons per cell

Cell and atoms, written as CIF:
```
data_DyGaPd
_chemical_formula_sum 'Dy4 Ga4 Pd4'
_space_group_name_H-M_alt 'P n m a'
_space_group_IT_number 62
_cell_length_a 6.891
_cell_length_b 4.481
_cell_length_c 7.689
_cell_angle_alpha 90.00
_cell_angle_beta 90.00
_cell_angle_gamma 90.00
loop_
_space_group_symop_operation_xyz
'x,y,z'
'-x,-y,-z'
'-x+1/2,-y,z+1/2'
'x+1/2,y,-z+1/2'
'x+1/2,-y+1/2,-z+1/2'
'-x+1/2,y+1/2,z+1/2'
'-x,y+1/2,-z'
'x,-y+1/2,z'
loop_
_atom_site_label
_atom_site_fract_x
_atom_site_fract_y
_atom_site_fract_z
Dy1 0.017 0.250 0.200
Ga1 0.178 0.250 0.576
Pd1 0.222 0.750 0.405
```

3.
A plane-wave DFT calculation with PBE was carried out for La2LuPb after structural relaxation.

Output
- ΔH_f (0 K): -1.158 eV per formula unit
- Excess energy over the best structure of this formula in the dataset: 29 meV per atom
- Spin magnetization: 0.00 Bohr magnetons per cell

Cell and atoms, written as CIF:
```
data_La2LuPb
_chemical_formula_sum 'La2 Lu1 Pb1'
_space_group_name_H-M_alt 'P 4/m m m'
_space_group_IT_number 123
_space_group_name_Hall '-P 4 2'
_cell_length_a 4.383
_cell_length_b 4.383
_cell_length_c 6.795
_cell_angle_alpha 90.00
_cell_angle_beta 90.00
_cell_angle_gamma 90.00
loop_
_atom_site_label
_atom_site_fract_x
_atom_site_fract_y
_atom_site_fract_z
La1 0.000 0.000 0.233
Lu1 0.500 0.500 0.500
Pb1 0.500 0.500 0.000
```

4.
A plane-wave DFT calculation with PBE was carried out for VSnAu2 after structural relaxation.

Output
- ΔH_f (0 K): 0.166 eV per formula unit
- Spin magnetization: 2.11 Bohr magnetons per cell

Cell and atoms, written as CIF:
```
data_VSnAu2
_chemical_formula_sum 'V1 Sn1 Au2'
_space_group_name_H-M_alt 'P 4/m m m'
_space_group_IT_number 123
_space_group_name_Hall '-P 4 2'
_cell_length_a 3.091
_cell_length_b 3.091
_cell_length_c 8.100
_cell_angle_alpha 90.00
_cell_angle_beta 90.00
_cell_angle_gamma 90.00
loop_
_atom_site_label
_atom_site_fract_x
_atom_site_fract_y
_atom_site_fract_z
V1 0.000 0.000 0.000
Sn1 0.000 0.000 0.500
Au1 0.500 0.500 0.212
```

5.
A plane-wave DFT calculation with PBE was carried out for NdYZnHg after structural relaxation.

Output
- ΔH_f (0 K): -1.649 eV per formula unit
- Excess energy over the best structure of this formula in the dataset: 0 meV per atom
- Spin magnetization: 0.00 Bohr magnetons per cell

Cell and atoms, written as CIF:
```
data_NdYZnHg
_chemical_formula_sum 'Nd1 Y1 Zn1 Hg1'
_space_group_name_H-M_alt 'P 4 m m'
_space_group_IT_number 99
_cell_length_a 3.663
_cell_length_b 3.663
_cell_length_c 7.594
_cell_angle_alpha 90.00
_cell_angle_beta 90.00
_cell_angle_gamma 90.00
loop_
_space_group_symop_operation_xyz
'x,y,z'
'-y,x,z'
'-x,-y,z'
'y,-x,z'
'-x,y,z'
'y,x,z'
'x,-y,z'
'-y,-x,z'
loop_
_atom_site_label
_atom_site_fract_x
_atom_site_fract_y
_atom_site_fract_z
Nd1 0.000 0.000 0.000
Y1 0.000 0.000 0.467
Zn1 0.500 0.500 0.248
Hg1 0.500 0.500 0.717
```

6.
A plane-wave DFT calculation with PBE was carried out for Ba3Bi2I2O5 after structural relaxation.

Output
- ΔE_f (raw): -1842 meV/atom
- Spin magnetization: 0.00 Bohr magnetons per cell

Cell and atoms, written as CIF:
```
data_Ba3Bi2I2O5
_chemical_formula_sum 'Ba6 Bi4 I4 O10'
_space_group_name_H-M_alt 'I 4/m m m'
_space_group_IT_number 139
_space_group_name_Hall '-I 4 2'
_cell_length_a 4.651
_cell_length_b 4.651
_cell_length_c 28.221
_cell_angle_alpha 90.00
_cell_angle_beta 90.00
_cell_angle_gamma 90.00
loop_
_atom_site_label
_atom_site_fract_x
_atom_site_fract_y
_atom_site_fract_z
Ba1 0.000 0.000 0.000
Ba2 0.000 0.000 0.141
Bi1 0.000 0.000 0.423
I1 0.000 0.000 0.299
O1 0.000 0.000 0.500
O2 0.000 0.500 0.081
```

7.
A plane-wave DFT calculation with PBE was carried out for Sr3Ni2As3 after structural relaxation.

Output
- ΔH_f (0 K): -6.280 eV per formula unit
- Excess energy over the best structure of this formula in the dataset: 16 meV per atom
- Spin magnetization: 0.00 Bohr magnetons per cell

Cell and atoms, written as CIF:
```
data_Sr3Ni2As3
_chemical_formula_sum 'Sr12 Ni8 As12'
_space_group_name_H-M_alt 'C m c m'
_space_group_IT_number 63
_space_group_name_Hall '-C 2c 2'
_cell_length_a 4.271
_cell_length_b 11.601
_cell_length_c 14.851
_cell_angle_alpha 90.00
_cell_angle_beta 90.00
_cell_angle_gamma 90.00
loop_
_atom_site_label
_atom_site_fract_x
_atom_site_fract_y
_atom_site_fract_z
Sr1 0.000 0.077 0.105
Sr2 0.000 0.355 0.250
Ni1 0.000 0.223 0.593
As1 0.000 0.335 0.750
As2 0.000 0.348 0.043
```

8.
A plane-wave DFT calculation with PBE was carried out for ThCu12Au6 after structural relaxation.

Output
- ΔH_f (0 K): 1.297 eV per formula unit
- Spin magnetization: 0.00 Bohr magnetons per cell

Cell and atoms, written as CIF:
```
data_ThCu12Au6
_chemical_formula_sum 'Th3 Cu36 Au18'
_space_group_name_H-M_alt 'R -3 m'
_space_group_IT_number 166
_space_group_name_Hall '-R 3 2"'
_cell_length_a 11.0095
_cell_length_b 11.0095
_cell_length_c 8.9368
_cell_angle_alpha 90.00
_cell_angle_beta 90.00
_cell_angle_gamma 120.00
loop_
_atom_site_label
_atom_site_fract_x
_atom_site_fract_y
_atom_site_fract_z
Th1 0.0000 0.0000 0.0000
Cu1 0.0000 0.3939 0.5000
Cu2 0.0828 0.1655 0.2770
Au1 0.0604 0.5302 0.2419
```